Compound: Pm2MoPbO6
Source: Alexandria via LeMat-Bulk
Functional: PBE with a Hubbard U
Structure: relaxed

The structure in CIF format:
```
data_Pm2MoPbO6
_chemical_formula_sum 'Pm2 Mo1 Pb1 O6'
_symmetry_space_group_name_H-M 'P 4 m m'
_symmetry_Int_Tables_number 99
_cell_length_a 5.5200
_cell_length_b 5.5200
_cell_length_c 5.7048
_cell_angle_alpha 90.00
_cell_angle_beta 90.00
_cell_angle_gamma 90.00
loop_
_symmetry_equiv_pos_as_xyz
'x,y,z'
'-y,x,z'
'-x,-y,z'
'y,-x,z'
'-x,y,z'
'y,x,z'
'x,-y,z'
'-y,-x,z'
loop_
_atom_site_label
_atom_site_type_symbol
_atom_site_fract_x
_atom_site_fract_y
_atom_site_fract_z
Pm1 Pm 0.0000 0.5000 0.0000
Mo1 Mo 0.0000 0.0000 0.6135
Pb1 Pb 0.5000 0.5000 0.5606
O1 O 0.0000 0.0000 0.2901
O2 O 0.2315 0.2315 0.7845
O3 O 0.5000 0.5000 0.1486
```

Its final energy is -0.2616 hartree per atom.